A plane-wave DFT calculation with GGA-PBE was carried out for an optimized crystal structure of Tb2Pr3Pt2.

Cell: 3.881 6.574 8.951 Å, 101.56 102.52 107.15°
Fractional coordinates of all 7 atoms:
Tb (0.647, 0.478, 0.815)
Tb (0.353, 0.522, 0.185)
Pr (0.500, 0.000, 0.000)
Pr (0.180, 0.794, 0.567)
Pr (0.820, 0.206, 0.433)
Pt (0.053, 0.876, 0.231)
Pt (0.947, 0.124, 0.769)

Properties
* formation energy: -0.683 eV per atom